# Pr4Dy2Y | the Alexandria database | PBE | relaxed
# V: 481 Å³ per cell
# formation energy: 0.121 eV per atom
# excess energy over the best structure of this formula in the dataset: 5.87 kJ/mol of atoms
data_Pr4Dy2Y
_cell_length_a 6.291
_cell_length_b 6.724
_cell_length_c 11.725
_cell_angle_alpha 90.00
_cell_angle_beta 104.27
_cell_angle_gamma 90.00
_space_group_name_H-M_alt 'P 1'
_space_group_IT_number 1
loop_
_space_group_symop_operation_xyz
'x,y,z'
loop_
_atom_site_label
_atom_site_fract_x
_atom_site_fract_y
_atom_site_fract_z
Pr1 0.042 0.250 0.364
Pr2 0.151 0.250 0.952
Pr3 0.354 0.511 0.215
Pr4 0.354 0.989 0.215
Pr5 0.646 0.011 0.785
Pr6 0.646 0.489 0.785
Pr7 0.849 0.750 0.048
Pr8 0.958 0.750 0.636
Dy1 0.288 0.750 0.922
Dy2 0.392 0.750 0.507
Dy3 0.608 0.250 0.493
Dy4 0.712 0.250 0.078
Y1 0.148 0.250 0.662
Y2 0.852 0.750 0.338

# PrDy5Y2 | the Alexandria database | PBE | relaxed
# V: 523 Å³ per cell
# formation energy: 0.011 eV per atom
# excess energy over the best structure of this formula in the dataset: 0.00 kJ/mol of atoms
data_PrDy5Y2
_cell_length_a 6.761
_cell_length_b 9.244
_cell_length_c 9.251
_cell_angle_alpha 86.10
_cell_angle_beta 72.14
_cell_angle_gamma 72.11
_space_group_name_H-M_alt 'P 1'
_space_group_IT_number 1
loop_
_space_group_symop_operation_xyz
'x,y,z'
loop_
_atom_site_label
_atom_site_fract_x
_atom_site_fract_y
_atom_site_fract_z
Pr1 0.249 0.208 0.292
Pr2 0.751 0.792 0.708
Dy1 0.001 0.084 0.668
Dy2 0.001 0.583 0.166
Dy3 0.247 0.042 0.959
Dy4 0.250 0.708 0.791
Dy5 0.251 0.541 0.458
Dy6 0.749 0.459 0.542
Dy7 0.750 0.292 0.209
Dy8 0.753 0.958 0.041
Dy9 0.999 0.417 0.834
Dy10 0.999 0.916 0.332
Y1 0.500 0.169 0.584
Y2 0.500 0.334 0.917
Y3 0.500 0.666 0.083
Y4 0.500 0.831 0.416

# Pr5Dy3Y | the Alexandria database | PBE | relaxed
# V: 716 Å³ per cell
# formation energy: 0.513 eV per atom
# excess energy over the best structure of this formula in the dataset: 33.08 kJ/mol of atoms
data_Pr5Dy3Y
_cell_length_a 8.550
_cell_length_b 8.550
_cell_length_c 10.178
_cell_angle_alpha 101.17
_cell_angle_beta 101.17
_cell_angle_gamma 87.71
_space_group_name_H-M_alt 'P 1'
_space_group_IT_number 1
loop_
_space_group_symop_operation_xyz
'x,y,z'
loop_
_atom_site_label
_atom_site_fract_x
_atom_site_fract_y
_atom_site_fract_z
Pr1 0.148 0.651 0.612
Pr2 0.244 0.756 0.000
Pr3 0.246 0.246 0.078
Pr4 0.265 0.265 0.417
Pr5 0.349 0.852 0.388
Pr6 0.651 0.148 0.612
Pr7 0.735 0.735 0.583
Pr8 0.754 0.754 0.922
Pr9 0.756 0.244 0.000
Pr10 0.852 0.349 0.388
Dy1 0.000 0.000 0.500
Dy2 0.004 0.004 0.170
Dy3 0.490 0.490 0.322
Dy4 0.500 0.500 0.000
Dy5 0.510 0.510 0.678
Dy6 0.996 0.996 0.830
Y1 0.252 0.252 0.743
Y2 0.748 0.748 0.257

> Number 1 is which compound?

Pr4Dy2Y

> What is the V in the second record?

523 Å³ per cell

> Which formula does entry 2 have?

PrDy5Y2

> Which formula does entry 3 have?

Pr5Dy3Y